Entry 1:
The following is a DFT calculation (PBE-GGA) of a relaxed Er3Zr3FeBi2 crystal.

The space group is P-62m (No. 189) and the conventional cell measures 8.0246, 8.0246 and 4.0015 Å, with angles of 90.00, 90.00 and 120.00 degrees. The distinct sites, in fractional coordinates, are Er at (0.0000, 0.6120, 0.0000), Zr at (0.0000, 0.2222, 0.5000), Fe at (0.0000, 0.0000, 0.0000) and Bi at (0.3333, 0.6667, 0.5000).

For the excess energy over the best structure of this formula in the dataset, the calculation gives 0.00 eV/f.u.

***

Entry 2:
The following is a DFT calculation (PBE-GGA) of a relaxed GdEr2Bi3 crystal.

The space group is P-3m1 (No. 164) and the conventional cell measures 4.4603, 4.4603 and 10.9387 Å, with angles of 90.00, 90.00 and 120.00 degrees. The distinct sites, in fractional coordinates, are Gd at (0.0000, 0.0000, 0.0000), Er at (0.3333, 0.6667, 0.3341), Bi at (0.0000, 0.0000, 0.5000) and Bi at (0.3333, 0.6667, 0.8304).

The total energy comes out at -5.179 eV per atom.

***

Entry 3:
The following is a DFT calculation (PBE-GGA) of a relaxed GdErBiI2 crystal.

The space group is P3m1 (No. 156) and the conventional cell measures 4.3825, 4.3825 and 11.2692 Å, with angles of 90.00, 90.00 and 120.00 degrees. The distinct sites, in fractional coordinates, are Gd at (0.0000, 0.0000, 0.0000), Er at (0.3333, 0.6667, 0.3085), Bi at (0.6667, 0.3333, 0.1584), I at (0.0000, 0.0000, 0.4759) and I at (0.3333, 0.6667, 0.8282).

The total energy comes out at -4.388 eV per atom.

***

Entry 4:
The following is a DFT calculation (PBE-GGA) of a relaxed GdErBiO2 crystal.

The space group is I4mm (No. 107) and the conventional cell measures 3.8637, 3.8637 and 13.4269 Å, with angles of 90.00, 90.00 and 90.00 degrees. The distinct sites, in fractional coordinates, are Gd at (0.0000, 0.0000, 0.0000), Er at (0.0000, 0.0000, 0.3346), Bi at (0.0000, 0.0000, 0.6669) and O at (0.0000, 0.5000, 0.4137).

The total energy comes out at -7.331 eV per atom.

***

Entry 5:
The following is a DFT calculation (PBE-GGA) of a relaxed GdErSc2Bi2 crystal.

The space group is I4mm (No. 107) and the conventional cell measures 4.4091, 4.4091 and 16.5739 Å, with angles of 90.00, 90.00 and 90.00 degrees. The distinct sites, in fractional coordinates, are Gd at (0.0000, 0.0000, 0.0000), Er at (0.0000, 0.0000, 0.6479), Sc at (0.0000, 0.5000, 0.3231), Bi at (0.0000, 0.0000, 0.1921) and Bi at (0.0000, 0.0000, 0.4549).

The total energy comes out at -5.597 eV per atom.

***

Entry 6:
The following is a DFT calculation (PBE-GGA) of a relaxed GdErBi2Te2 crystal.

The space group is P4mm (No. 99) and the conventional cell measures 4.3941, 4.3941 and 9.3230 Å, with angles of 90.00, 90.00 and 90.00 degrees. The distinct sites, in fractional coordinates, are Gd at (0.0000, 0.0000, 0.0000), Er at (0.5000, 0.5000, 0.5691), Bi at (0.0000, 0.5000, 0.2849), Te at (0.0000, 0.0000, 0.6575) and Te at (0.5000, 0.5000, 0.9079).

The total energy comes out at -4.919 eV per atom.